[1]
Cs4Ce3YS8, relaxed, DFT PBE; energy relative to the elements, uncorrected = -28.292 eV/f.u.; E_tot = -5.562 eV per atom; symmetry = R-3m
1.0
8.466 0.000 0.000
0.000 9.406 0.646
-4.233 -4.222 5.994
S Cs Ce Y
8 4 3 1
direct
0.271 0.314 0.543 S
0.265 0.317 0.041 S
0.735 0.683 0.959 S
0.224 0.683 0.959 S
0.776 0.317 0.551 S
0.776 0.317 0.041 S
0.224 0.683 0.449 S
0.729 0.686 0.457 S
0.500 0.000 0.500 Cs
0.000 0.000 0.500 Cs
0.000 0.000 0.000 Cs
0.500 0.000 0.000 Cs
0.500 0.500 0.000 Ce
0.000 0.500 0.500 Ce
0.500 0.500 0.500 Ce
0.000 0.500 0.000 Y

***

[2]
Cs3Ce2YS6, relaxed, DFT PBE; energy relative to the elements, uncorrected = -21.309 eV/f.u.; E_tot = -5.580 eV per atom; symmetry = C2/m
1.0
7.312 -0.001 0.000
-3.655 6.333 0.000
-1.219 -2.111 8.058
S Cs Ce Y
6 3 2 1
direct
0.939 0.613 0.816 S
0.735 0.735 0.184 S
0.265 0.265 0.816 S
0.061 0.387 0.184 S
0.613 0.939 0.816 S
0.387 0.061 0.184 S
0.833 0.167 0.500 Cs
0.167 0.833 0.500 Cs
0.500 0.500 0.500 Cs
0.333 0.667 0.000 Ce
0.667 0.333 0.000 Ce
0.000 0.000 0.000 Y

***

[3]
CsCeZnS3, relaxed, DFT PBE; energy relative to the elements, uncorrected = -8.162 eV/f.u.; E_tot = -4.768 eV per atom; symmetry = C2/m
1.0
-3.536 -1.972 0.768
5.937 -3.729 6.703
-3.632 7.862 3.472
S Zn Cs Ce
6 2 2 2
direct
0.520 0.039 0.288 S
0.812 0.624 0.642 S
0.156 0.312 0.739 S
0.188 0.376 0.358 S
0.480 0.961 0.712 S
0.844 0.688 0.261 S
0.026 0.052 0.657 Zn
0.974 0.948 0.343 Zn
0.639 0.278 0.042 Cs
0.361 0.722 0.958 Cs
0.658 0.316 0.531 Ce
0.342 0.684 0.469 Ce

***

[4]
Cs2CeZn2S4, relaxed, DFT PBE; energy relative to the elements, uncorrected = -10.147 eV/f.u.; E_tot = -4.094 eV per atom; symmetry = C2/m
1.0
4.268 0.000 0.000
0.000 8.200 0.411
-2.134 -2.869 7.157
S Cs Zn Ce
4 2 2 1
direct
0.798 0.858 0.596 S
0.202 0.142 0.404 S
0.475 0.225 0.950 S
0.525 0.775 0.050 S
0.134 0.555 0.267 Cs
0.866 0.445 0.733 Cs
0.672 0.986 0.344 Zn
0.328 0.014 0.656 Zn
0.000 0.000 0.000 Ce